Record 1
A plane-wave DFT calculation with PBE was carried out for crystalline NiRhW at its relaxed geometry.

Values from the calculation:
**E above lowest polymorph**: 0.2020 eV per atom
**Space-group type**: No. 160
**Total energy**: -8.6550 eV/atom

Lattice parameters (Å, degrees): 2.738 2.740 7.701 110.86 79.82 59.93
Site moments in Bohr magnetons follow the coordinates.
Positions (direct):
Ni  0.051  0.661  0.941  0.12
Rh  0.828  0.441  0.610  0.01
W  0.949  0.539  0.268  0.01


Record 2
A plane-wave DFT calculation with PBE was carried out for crystalline NiRh2W at its relaxed geometry.

Values from the calculation:
**E above lowest polymorph**: 0.0000 eV per atom
**Space-group type**: No. 59
**Total energy**: -8.5957 eV/atom

Lattice parameters (Å, degrees): 4.291 4.691 5.474 90.00 90.00 90.00
Positions (direct):
Ni  0.000  0.334  0.500
Ni  0.500  0.666  0.000
Rh  0.500  0.180  0.253
Rh  0.500  0.180  0.747
Rh  0.000  0.820  0.753
Rh  0.000  0.820  0.247
W  0.500  0.663  0.500
W  0.000  0.337  0.000


Record 3
A plane-wave DFT calculation with PBE was carried out for crystalline NiRh2W2 at its relaxed geometry.

Values from the calculation:
**E above lowest polymorph**: 0.0000 eV per atom
**Space-group type**: No. 65
**Total energy**: -9.2595 eV/atom

Lattice parameters (Å, degrees): 2.781 2.755 9.717 81.85 90.00 90.00
Positions (direct):
Ni  0.000  0.000  0.000
Rh  0.000  0.189  0.622
Rh  0.000  0.811  0.378
W  0.500  0.406  0.189
W  0.500  0.594  0.811


Record 4
A plane-wave DFT calculation with PBE was carried out for crystalline NiRh2W at its relaxed geometry.

Values from the calculation:
**E above lowest polymorph**: 0.2055 eV per atom
**Space-group type**: No. 8
**Total energy**: -8.3902 eV/atom

Lattice parameters (Å, degrees): 4.673 4.673 4.648 79.91 79.91 34.09
Positions (direct):
Ni  0.751  0.751  0.753
Rh  0.002  0.002  0.986
Rh  0.251  0.251  0.261
W  0.497  0.497  0.500


Record 5
A plane-wave DFT calculation with PBE was carried out for crystalline Ni5Rh4W at its relaxed geometry.

Values from the calculation:
**Space-group type**: No. 12
**Total energy**: -7.0110 eV/atom

Lattice parameters (Å, degrees): 2.648 8.290 8.739 135.16 98.71 90.00
Site moments in Bohr magnetons follow the coordinates.
Positions (direct):
Ni  0.775  0.171  0.551  0.52
Ni  0.815  0.707  0.630  0.16
Ni  0.185  0.293  0.370  0.16
Ni  0.500  0.500  0.000  0.37
Ni  0.225  0.829  0.449  0.52
Rh  0.386  0.565  0.772  0.19
Rh  0.086  0.869  0.173  0.20
Rh  0.614  0.435  0.228  0.19
Rh  0.914  0.131  0.827  0.20
W  0.500  0.000  0.000  -0.06


Record 6
A plane-wave DFT calculation with PBE was carried out for crystalline NiRhW at its relaxed geometry.

Values from the calculation:
**E above lowest polymorph**: 0.1055 eV per atom
**Space-group type**: No. 107
**Total energy**: -8.7515 eV/atom

Lattice parameters (Å, degrees): 5.866 5.866 2.732 76.54 76.53 26.93
Positions (direct):
Ni  0.002  0.002  0.998
Rh  0.336  0.336  0.664
W  0.662  0.662  0.338


| no. | ΔH_f (0 K) (eV per atom) |
| --- | --- |
| 1 | 0.0404 |
| 2 | -0.2364 |
| 3 | 0.0186 |
| 4 | -0.0309 |
| 5 | 0.1156 |
| 6 | -0.0562 |